1.
# TiMn3Pb (PBE, relaxed)
# - Symmetry: Pm-3m (221)
# - Electronic total energy: -31.990 eV per cell
# - Formation energy from the elements: 1.4243 eV/atom
data_TiMn3Pb
_chemical_formula_sum 'Ti1 Mn3 Pb1'
_space_group_name_H-M_alt 'P 1'
_space_group_IT_number 1
_cell_length_a 5.014
_cell_length_b 5.014
_cell_length_c 5.014
_cell_angle_alpha 90.00
_cell_angle_beta 90.00
_cell_angle_gamma 90.00
loop_
_space_group_symop_operation_xyz
'x,y,z'
loop_
_atom_site_label
_atom_site_fract_x
_atom_site_fract_y
_atom_site_fract_z
Pb1 0.000 0.000 0.000
Mn1 0.000 0.500 0.000
Ti1 0.500 0.500 0.500
Mn2 0.000 0.000 0.500
Mn3 0.500 0.000 0.000

2.
# La2ErIn2 (PBE, relaxed)
# - Symmetry: P4/mbm (127)
# - Electronic total energy: -41.688 eV per cell
# - Formation energy from the elements: -0.1899 eV/atom
data_La2ErIn2
_chemical_formula_sum 'La4 Er2 In4'
_space_group_name_H-M_alt 'P 1'
_space_group_IT_number 1
_cell_length_a 3.599
_cell_length_b 9.325
_cell_length_c 9.325
_cell_angle_alpha 90.00
_cell_angle_beta 90.00
_cell_angle_gamma 90.00
loop_
_space_group_symop_operation_xyz
'x,y,z'
loop_
_atom_site_label
_atom_site_fract_x
_atom_site_fract_y
_atom_site_fract_z
La1 0.000 0.883 0.617
In1 0.500 0.179 0.679
In2 0.500 0.321 0.179
In3 0.500 0.679 0.821
La2 0.000 0.617 0.117
La3 0.000 0.383 0.883
In4 0.500 0.821 0.321
La4 0.000 0.117 0.383
Er1 0.000 0.500 0.500
Er2 0.000 0.000 0.000

3.
# Pa2AsSe2N (PBE, relaxed)
# - E_form (uncorrected): -1.38 eV/atom
# - Symmetry: Ibam (72)
# - Electronic total energy: -94.375 eV per cell
data_Pa2AsSe2N
_chemical_formula_sum 'Pa4 As2 Se4 N2'
_space_group_name_H-M_alt 'P 1'
_space_group_IT_number 1
_cell_length_a 5.548
_cell_length_b 7.041
_cell_length_c 8.147
_cell_angle_alpha 115.60
_cell_angle_beta 109.91
_cell_angle_gamma 90.00
loop_
_space_group_symop_operation_xyz
'x,y,z'
loop_
_atom_site_label
_atom_site_fract_x
_atom_site_fract_y
_atom_site_fract_z
Pa1 0.900 0.223 0.800
Pa2 0.600 0.422 0.200
As1 0.250 0.000 0.000
As2 0.750 0.000 0.000
Se1 0.807 0.491 0.615
Pa3 0.100 0.777 0.200
N1 0.750 0.500 0.000
Se2 0.307 0.124 0.615
Se3 0.193 0.509 0.385
N2 0.250 0.500 0.000
Se4 0.693 0.876 0.385
Pa4 0.400 0.578 0.800

4.
# CaCu2Au (PBE, relaxed)
# - Symmetry: P4mm (99)
# - Electronic total energy: -14.171 eV per cell
# - Formation energy from the elements: -0.1750 eV/atom
data_CaCu2Au
_chemical_formula_sum 'Ca1 Cu2 Au1'
_space_group_name_H-M_alt 'P 1'
_space_group_IT_number 1
_cell_length_a 3.385
_cell_length_b 3.385
_cell_length_c 6.335
_cell_angle_alpha 90.00
_cell_angle_beta 90.00
_cell_angle_gamma 90.00
loop_
_space_group_symop_operation_xyz
'x,y,z'
loop_
_atom_site_label
_atom_site_fract_x
_atom_site_fract_y
_atom_site_fract_z
Cu1 0.500 0.500 0.225
Cu2 0.000 0.000 0.058
Au1 0.000 0.000 0.463
Ca1 0.500 0.500 0.754

5.
# La8Si3CI4 (PBE, relaxed)
# - E_form (uncorrected): -0.92 eV/atom
# - Symmetry: R-3m (166)
# - Electronic total energy: -85.863 eV per cell
data_La8Si3CI4
_chemical_formula_sum 'La8 Si3 C1 I4'
_space_group_name_H-M_alt 'P 1'
_space_group_IT_number 1
_cell_length_a 8.617
_cell_length_b 9.377
_cell_length_c 8.617
_cell_angle_alpha 117.36
_cell_angle_beta 120.00
_cell_angle_gamma 90.00
loop_
_space_group_symop_operation_xyz
'x,y,z'
loop_
_atom_site_label
_atom_site_fract_x
_atom_site_fract_y
_atom_site_fract_z
Si1 0.000 0.500 0.500
La1 0.216 0.688 0.432
La2 0.266 0.298 0.532
I1 0.000 0.000 0.000
La3 0.756 0.688 0.972
La4 0.734 0.702 0.468
La5 0.784 0.312 0.028
La6 0.784 0.312 0.568
La7 0.216 0.688 0.972
La8 0.244 0.312 0.028
C1 0.000 0.500 0.000
I2 0.500 0.000 0.000
I3 0.000 0.000 0.500
I4 0.500 0.000 0.500
Si2 0.500 0.500 0.000
Si3 0.500 0.500 0.500

6.
# SrV3Hg (PBE, relaxed)
# - Symmetry: Pm-3m (221)
# - Electronic total energy: -22.911 eV per cell
# - Formation energy from the elements: 1.2856 eV/atom
data_SrV3Hg
_chemical_formula_sum 'Sr1 V3 Hg1'
_space_group_name_H-M_alt 'P 1'
_space_group_IT_number 1
_cell_length_a 5.219
_cell_length_b 5.219
_cell_length_c 5.219
_cell_angle_alpha 90.00
_cell_angle_beta 90.00
_cell_angle_gamma 90.00
loop_
_space_group_symop_operation_xyz
'x,y,z'
loop_
_atom_site_label
_atom_site_fract_x
_atom_site_fract_y
_atom_site_fract_z
V1 0.000 0.500 0.000
Sr1 0.500 0.500 0.500
V2 0.500 0.000 0.000
Hg1 0.000 0.000 0.000
V3 0.000 0.000 0.500

7.
# Li2Y3NpSe6 (PBE, relaxed)
# - E_form (uncorrected): -1.59 eV/atom
# - Symmetry: C2/m (12)
# - Electronic total energy: -76.196 eV per cell
data_Li2Y3NpSe6
_chemical_formula_sum 'Li2 Y3 Np1 Se6'
_space_group_name_H-M_alt 'P 1'
_space_group_IT_number 1
_cell_length_a 4.066
_cell_length_b 8.138
_cell_length_c 9.097
_cell_angle_alpha 102.88
_cell_angle_beta 102.91
_cell_angle_gamma 90.00
loop_
_space_group_symop_operation_xyz
'x,y,z'
loop_
_atom_site_label
_atom_site_fract_x
_atom_site_fract_y
_atom_site_fract_z
Y1 0.166 0.833 0.332
Se1 0.997 0.746 0.993
Y2 0.500 0.500 0.000
Li1 0.176 0.354 0.352
Se2 0.667 0.582 0.334
Np1 0.500 0.000 0.000
Li2 0.824 0.646 0.648
Y3 0.834 0.167 0.668
Se3 0.003 0.254 0.007
Se4 0.333 0.418 0.666
Se5 0.668 0.090 0.337
Se6 0.332 0.910 0.663

8.
# Na4YPd3O8 (PBE, relaxed)
# - E_form (uncorrected): -1.31 eV/atom
# - Symmetry: C2/m (12)
# - Electronic total energy: -87.868 eV per cell
data_Na4YPd3O8
_chemical_formula_sum 'Na4 Y1 Pd3 O8'
_space_group_name_H-M_alt 'P 1'
_space_group_IT_number 1
_cell_length_a 6.216
_cell_length_b 6.477
_cell_length_c 6.818
_cell_angle_alpha 118.22
_cell_angle_beta 117.12
_cell_angle_gamma 90.00
loop_
_space_group_symop_operation_xyz
'x,y,z'
loop_
_atom_site_label
_atom_site_fract_x
_atom_site_fract_y
_atom_site_fract_z
O1 0.709 0.248 0.951
Y1 0.000 0.500 0.000
Na1 0.500 0.000 0.500
Na2 0.000 0.000 0.000
Na3 0.500 0.000 0.000
O2 0.242 0.248 0.951
O3 0.758 0.752 0.049
Pd1 0.000 0.500 0.500
O4 0.300 0.350 0.599
O5 0.700 0.650 0.401
O6 0.772 0.315 0.544
O7 0.228 0.685 0.456
O8 0.291 0.752 0.049
Na4 0.000 0.000 0.500
Pd2 0.500 0.500 0.000
Pd3 0.500 0.500 0.500